{
  "formula": "Pm2Cd16Hg",
  "functional": "PBE-GGA",
  "state": "optimized geometry",
  "lattice_angstrom": [[7.615, 0.072, 0.939], [0.839, 7.569, 0.939], [0.080, 0.072, 7.673]],
  "species": ["Pm", "Pm", "Cd", "Cd", "Cd", "Cd", "Cd", "Cd", "Cd", "Cd", "Cd", "Cd", "Cd", "Cd", "Cd", "Cd", "Cd", "Cd", "Hg"],
  "fractional_positions": [[0.671, 0.671, 0.671], [0.330, 0.330, 0.330], [0.362, 0.835, 0.362], [0.096, 0.096, 0.096], [0.362, 0.362, 0.835], [0.641, 0.641, 0.162], [0.000, 0.302, 0.700], [0.006, 0.006, 0.494], [0.302, 0.000, 0.700], [0.700, 0.000, 0.302], [0.000, 0.700, 0.302], [0.494, 0.006, 0.006], [0.162, 0.641, 0.641], [0.835, 0.362, 0.362], [0.641, 0.162, 0.641], [0.006, 0.494, 0.006], [0.302, 0.700, 0.000], [0.700, 0.302, 0.000], [0.890, 0.890, 0.890]],
  "density_g_cm3": 8.6,
  "spacegroup": "R3m (160)",
  "total_energy_ev_per_atom": -1.4301,
  "volume_a3_per_atom": 23.2,
  "delta_e_f_ev_per_atom": -0.144,
  "total_magnetization_mub_per_fu": 0.000
}


{
  "formula": "Pm2Cd2Hg7",
  "functional": "PBE-GGA",
  "state": "optimized geometry",
  "lattice_angstrom": [[-2.860, -1.116, 3.740], [0.058, -9.398, 0.371], [4.668, -6.672, 4.709]],
  "species": ["Hg", "Hg", "Hg", "Hg", "Hg", "Hg", "Hg", "Cd", "Cd", "Pm", "Pm"],
  "fractional_positions": [[0.500, 0.920, 0.080], [0.336, 0.783, 0.546], [0.126, 0.214, 0.534], [0.664, 0.454, 0.217], [0.869, 0.032, 0.230], [0.874, 0.466, 0.786], [0.131, 0.770, 0.968], [0.500, 0.341, 0.659], [0.000, 0.628, 0.372], [0.290, 0.334, 0.087], [0.710, 0.913, 0.666]],
  "density_g_cm3": 11.4,
  "spacegroup": "Imm2 (44)",
  "total_energy_ev_per_atom": -1.4645,
  "volume_a3_per_atom": 25.5,
  "delta_e_f_ev_per_atom": -0.242,
  "total_magnetization_mub_per_fu": 0.000
}


{
  "formula": "PmCd2Hg2",
  "functional": "PBE-GGA",
  "state": "optimized geometry",
  "lattice_angstrom": [[-1.314, 3.116, 1.323], [1.872, -1.156, 4.580], [11.509, 6.197, -3.162]],
  "species": ["Cd", "Cd", "Cd", "Cd", "Pm", "Pm", "Hg", "Hg", "Hg", "Hg"],
  "fractional_positions": [[0.250, 0.249, 0.532], [0.750, 0.249, 0.141], [0.250, 0.751, 0.859], [0.750, 0.751, 0.468], [0.750, 0.250, 0.747], [0.250, 0.750, 0.253], [0.250, 0.749, 0.648], [0.250, 0.251, 0.957], [0.750, 0.251, 0.352], [0.750, 0.749, 0.043]],
  "density_g_cm3": 10.3,
  "spacegroup": "P2_1/m (11)",
  "total_energy_ev_per_atom": -1.6831,
  "volume_a3_per_atom": 24.8,
  "de_polymorph_mev_per_atom": 44,
  "delta_e_f_ev_per_atom": -0.246,
  "total_magnetization_mub_per_fu": 0.000
}


{
  "formula": "Pm5Cd2Hg2",
  "functional": "PBE-GGA",
  "state": "optimized geometry",
  "lattice_angstrom": [[8.565, 0.000, 0.000], [0.000, 7.351, 0.000], [0.000, -3.675, 8.578]],
  "species": ["Cd", "Cd", "Cd", "Cd", "Pm", "Pm", "Pm", "Pm", "Pm", "Pm", "Pm", "Pm", "Pm", "Pm", "Hg", "Hg", "Hg", "Hg"],
  "fractional_positions": [[0.500, 0.716, 0.432], [0.000, 0.784, 0.568], [0.000, 0.216, 0.432], [0.500, 0.284, 0.568], [0.183, 0.183, 0.721], [0.683, 0.038, 0.721], [0.183, 0.462, 0.279], [0.317, 0.683, 0.721], [0.000, 0.000, 0.000], [0.683, 0.317, 0.279], [0.500, 0.500, 0.000], [0.317, 0.962, 0.279], [0.817, 0.538, 0.721], [0.817, 0.817, 0.279], [0.859, 0.389, 0.000], [0.359, 0.111, 0.000], [0.641, 0.889, 0.000], [0.141, 0.611, 0.000]],
  "density_g_cm3": 8.3,
  "spacegroup": "Cmce (64)",
  "total_energy_ev_per_atom": -3.1823,
  "volume_a3_per_atom": 30.0,
  "delta_e_f_ev_per_atom": -0.273,
  "total_magnetization_mub_per_fu": 0.000
}


{
  "formula": "PmCd4Hg",
  "functional": "PBE-GGA",
  "state": "optimized geometry",
  "lattice_angstrom": [[4.648, 0.000, -1.178], [0.000, 7.666, 0.000], [-2.767, 0.000, 8.985]],
  "species": ["Cd", "Cd", "Cd", "Cd", "Cd", "Cd", "Cd", "Cd", "Pm", "Pm", "Hg", "Hg"],
  "fractional_positions": [[0.666, 0.049, 0.673], [0.937, 0.750, 0.938], [0.334, 0.549, 0.327], [0.334, 0.951, 0.327], [0.666, 0.451, 0.673], [0.766, 0.750, 0.260], [0.234, 0.250, 0.740], [0.063, 0.250, 0.062], [0.142, 0.750, 0.649], [0.858, 0.250, 0.351], [0.500, 0.500, 0.000], [0.500, 0.000, 0.000]],
  "density_g_cm3": 8.9,
  "spacegroup": "P2_1/m (11)",
  "total_energy_ev_per_atom": -1.6316,
  "volume_a3_per_atom": 24.6,
  "de_polymorph_mev_per_atom": 42,
  "delta_e_f_ev_per_atom": -0.179,
  "total_magnetization_mub_per_fu": 0.000
}


{
  "formula": "PmCd3Hg6",
  "functional": "PBE-GGA",
  "state": "optimized geometry",
  "lattice_angstrom": [[4.934, 0.000, 0.000], [0.000, 12.053, -3.655], [0.000, -7.309, 10.425]],
  "species": ["Hg", "Hg", "Hg", "Hg", "Hg", "Hg", "Hg", "Hg", "Hg", "Hg", "Hg", "Hg", "Cd", "Cd", "Cd", "Cd", "Cd", "Cd", "Pm", "Pm"],
  "fractional_positions": [[0.750, 0.173, 0.507], [0.250, 0.620, 0.873], [0.750, 0.544, 0.656], [0.750, 0.968, 0.891], [0.750, 0.881, 0.102], [0.250, 0.456, 0.344], [0.250, 0.119, 0.898], [0.250, 0.827, 0.493], [0.750, 0.747, 0.298], [0.250, 0.253, 0.702], [0.250, 0.032, 0.109], [0.750, 0.380, 0.127], [0.250, 0.484, 0.070], [0.250, 0.305, 0.483], [0.750, 0.695, 0.517], [0.750, 0.516, 0.930], [0.750, 0.261, 0.273], [0.250, 0.739, 0.727], [0.750, 0.104, 0.720], [0.250, 0.896, 0.280]],
  "density_g_cm3": 11.5,
  "spacegroup": "P2_1/m (11)",
  "total_energy_ev_per_atom": -1.0691,
  "volume_a3_per_atom": 24.4,
  "de_polymorph_mev_per_atom": 0,
  "delta_e_f_ev_per_atom": -0.138,
  "total_magnetization_mub_per_fu": 0.000
}


{
  "formula": "PmCd5Hg6",
  "functional": "PBE-GGA",
  "state": "optimized geometry",
  "lattice_angstrom": [[4.643, 0.007, -1.294], [-3.616, 7.468, -3.854], [0.005, -1.012, 9.093]],
  "species": ["Hg", "Hg", "Hg", "Hg", "Hg", "Hg", "Cd", "Cd", "Cd", "Cd", "Cd", "Pm"],
  "fractional_positions": [[0.263, 0.424, 0.100], [0.263, 0.100, 0.424], [0.737, 0.900, 0.576], [0.227, 0.728, 0.728], [0.737, 0.576, 0.900], [0.773, 0.272, 0.272], [0.000, 0.687, 0.313], [0.000, 0.313, 0.687], [0.500, 0.163, 0.837], [0.500, 0.837, 0.163], [0.500, 0.500, 0.500], [0.000, 0.000, 0.000]],
  "density_g_cm3": 10.8,
  "spacegroup": "C2/m (12)",
  "total_energy_ev_per_atom": -1.0440,
  "volume_a3_per_atom": 24.4,
  "delta_e_f_ev_per_atom": -0.116,
  "total_magnetization_mub_per_fu": 0.000
}


{
  "formula": "Pm3Cd6Hg2",
  "functional": "PBE-GGA",
  "state": "optimized geometry",
  "lattice_angstrom": [[-2.946, 2.006, -2.285], [-1.145, -3.679, -1.754], [-9.076, -1.542, 14.273]],
  "species": ["Cd", "Cd", "Cd", "Cd", "Cd", "Cd", "Pm", "Pm", "Pm", "Hg", "Hg"],
  "fractional_positions": [[0.924, 0.424, 0.848], [0.076, 0.576, 0.152], [0.424, 0.924, 0.848], [0.731, 0.731, 0.462], [0.576, 0.076, 0.152], [0.269, 0.269, 0.538], [0.000, 0.000, 0.000], [0.171, 0.171, 0.342], [0.829, 0.829, 0.658], [0.642, 0.642, 0.283], [0.358, 0.358, 0.717]],
  "density_g_cm3": 8.4,
  "spacegroup": "I4/mmm (139)",
  "total_energy_ev_per_atom": -2.0146,
  "volume_a3_per_atom": 27.2,
  "delta_e_f_ev_per_atom": -0.165,
  "total_magnetization_mub_per_fu": 0.000
}


{
  "formula": "PmCd5Hg4",
  "functional": "PBE-GGA",
  "state": "optimized geometry",
  "lattice_angstrom": [[4.787, 0.000, -1.327], [-0.960, 6.096, -3.461], [-0.174, 0.669, 8.669]],
  "species": ["Cd", "Cd", "Cd", "Cd", "Cd", "Hg", "Hg", "Hg", "Hg", "Pm"],
  "fractional_positions": [[0.500, 0.500, 0.000], [0.320, 0.086, 0.639], [0.680, 0.914, 0.361], [0.843, 0.843, 0.686], [0.157, 0.157, 0.314], [0.003, 0.721, 0.006], [0.997, 0.279, 0.994], [0.676, 0.447, 0.352], [0.324, 0.553, 0.648], [0.500, 0.000, 0.000]],
  "density_g_cm3": 9.5,
  "spacegroup": "C2/m (12)",
  "total_energy_ev_per_atom": -1.1844,
  "volume_a3_per_atom": 26.4,
  "delta_e_f_ev_per_atom": -0.131,
  "total_magnetization_mub_per_fu": 0.000
}


{
  "formula": "PmCd6Hg4",
  "functional": "PBE-GGA",
  "state": "optimized geometry",
  "lattice_angstrom": [[-1.864, -1.774, -2.280], [7.799, -4.944, -2.530], [-5.608, -3.196, 7.071]],
  "species": ["Cd", "Cd", "Cd", "Cd", "Cd", "Cd", "Hg", "Hg", "Hg", "Hg", "Pm"],
  "fractional_positions": [[0.000, 0.443, 0.250], [0.500, 0.199, 0.290], [0.000, 0.807, 0.557], [0.500, 0.710, 0.908], [0.000, 0.750, 0.193], [0.500, 0.092, 0.801], [0.500, 0.553, 0.559], [0.500, 0.005, 0.447], [0.000, 0.000, 0.000], [0.500, 0.441, 0.995], [0.000, 0.333, 0.667]],
  "density_g_cm3": 9.9,
  "spacegroup": "P-6 (174)",
  "total_energy_ev_per_atom": -1.1300,
  "volume_a3_per_atom": 24.8,
  "delta_e_f_ev_per_atom": -0.089,
  "total_magnetization_mub_per_fu": 0.000
}